Record 1
Material: K2LaMn
Method: DFT, PBE
State: relaxed Values from VASP.

```
&SYSTEM
  ibrav = 0, nat = 4, ntyp = 3
/
ATOMIC_SPECIES
K 39.10 K.upf
La 138.91 La.upf
Mn 54.94 Mn.upf
ATOMIC_POSITIONS angstrom
K -5.585 -10.966 0.951
K -3.099 -6.085 0.528
La -1.027 -3.269 -2.208
Mn -3.922 -8.952 -1.715
CELL_PARAMETERS angstrom
-1.794 0.652 -3.021
2.634 -1.505 -1.889
-5.789 -11.367 0.986
```

Output
Energy relative to the elements: 808 meV per atom
SG: P4/mmm (123)
Volume: 163 Å³/cell
E above lowest polymorph: 0.370 eV per atom
Crystal system: tetragonal
Total DFT energy (no corrections): -13.1 eV per cell


Record 2
Material: Co12NiRh6
Method: DFT, PBE
State: relaxed Values from VASP.

```
&SYSTEM
  ibrav = 0, nat = 19, ntyp = 3
/
ATOMIC_SPECIES
Co 58.93 Co.upf
Ni 58.69 Ni.upf
Rh 102.91 Rh.upf
ATOMIC_POSITIONS angstrom
Co 6.107 1.986 3.290
Co 2.772 1.252 2.486
Co 2.570 2.904 0.631
Co 6.430 5.385 4.094
Co 4.766 5.385 5.949
Co 4.564 7.037 4.094
Co 3.404 6.303 0.865
Co 1.493 4.145 5.715
Co 1.229 6.303 3.290
Co 3.932 1.986 5.715
Co 5.842 4.145 0.866
Co 0.906 2.904 2.486
Ni 0.000 0.000 0.000
Rh 5.939 3.346 5.327
Rh 5.577 6.302 2.007
Rh 2.599 6.302 5.327
Rh 1.759 1.987 4.573
Rh 1.397 4.943 1.253
Rh 4.736 1.987 1.253
CELL_PARAMETERS angstrom
6.591 0.823 0.015
0.016 6.643 0.014
0.729 0.823 6.551
```

Output
Energy relative to the elements: 628 meV per atom
SG: R-3m (166)
Volume: 287 Å³/cell
Crystal system: trigonal
Total DFT energy (no corrections): -123.2 eV per cell


Record 3
Material: SrRu2W
Method: DFT, PBE
State: relaxed Values from VASP.

```
&SYSTEM
  ibrav = 0, nat = 4, ntyp = 3
/
ATOMIC_SPECIES
Ru 101.07 Ru.upf
Sr 87.62 Sr.upf
W 183.84 W.upf
ATOMIC_POSITIONS angstrom
Ru 0.000 0.000 0.000
Ru 2.310 1.333 0.943
Sr 4.619 2.667 1.886
W 6.929 4.000 2.829
CELL_PARAMETERS angstrom
4.619 0.000 0.000
2.310 4.000 0.000
2.310 1.333 3.772
```

Output
Energy relative to the elements: 1056 meV per atom
SG: F-43m (216)
Volume: 70 Å³/cell
E above lowest polymorph: 0.778 eV per atom
Crystal system: cubic
Total DFT energy (no corrections): -29.0 eV per cell


Record 4
Material: LaTlPd2
Method: DFT, PBE
State: relaxed Values from VASP.

```
&SYSTEM
  ibrav = 0, nat = 4, ntyp = 3
/
ATOMIC_SPECIES
Tl 204.38 Tl.upf
Pd 106.42 Pd.upf
La 138.91 La.upf
ATOMIC_POSITIONS angstrom
Tl 1.890 0.000 0.000
Pd 0.000 0.000 2.430
Pd 0.000 2.430 0.000
La 1.890 2.430 2.430
CELL_PARAMETERS angstrom
3.780 0.000 0.000
0.000 4.859 0.000
0.000 0.000 4.859
```

Output
Energy relative to the elements: -510 meV per atom
SG: P4/mmm (123)
Volume: 89 Å³/cell
Crystal system: tetragonal
Total DFT energy (no corrections): -19.7 eV per cell


Record 5
Material: InGeAs2I
Method: DFT, PBE
State: relaxed Values from VASP.

```
&SYSTEM
  ibrav = 0, nat = 5, ntyp = 4
/
ATOMIC_SPECIES
I 126.90 I.upf
As 74.92 As.upf
Ge 72.64 Ge.upf
In 114.82 In.upf
ATOMIC_POSITIONS angstrom
I 2.473 2.473 3.176
As 0.000 2.473 0.000
As 2.473 0.000 0.000
Ge 0.000 0.000 0.000
In 0.000 0.000 3.176
CELL_PARAMETERS angstrom
4.946 0.000 0.000
0.000 4.946 0.000
0.000 0.000 6.353
```

Output
SG: P4/mmm (123)
Volume: 155 Å³/cell
Crystal system: tetragonal
Total DFT energy (no corrections): -15.9 eV per cell
Formation energy without anion corrections: 0.4544 eV/atom


Record 6
Material: CeDyScTl
Method: DFT, PBE
State: relaxed Values from VASP.

```
&SYSTEM
  ibrav = 0, nat = 4, ntyp = 4
/
ATOMIC_SPECIES
Sc 44.96 Sc.upf
Tl 204.38 Tl.upf
Ce 140.12 Ce.upf
Dy 162.50 Dy.upf
ATOMIC_POSITIONS angstrom
Sc 0.000 0.000 0.000
Tl 7.909 4.566 3.229
Ce 2.636 1.522 1.076
Dy 5.273 3.044 2.153
CELL_PARAMETERS angstrom
5.273 0.000 0.000
2.636 4.566 0.000
2.636 1.522 4.305
```

Output
Energy relative to the elements: 19 meV per atom
SG: F-43m (216)
Volume: 104 Å³/cell
Crystal system: cubic
Total DFT energy (no corrections): -19.2 eV per cell


Record 7
Material: NaZnPd
Method: DFT, PBE
State: relaxed Values from VASP.

```
&SYSTEM
  ibrav = 0, nat = 6, ntyp = 3
/
ATOMIC_SPECIES
Na 22.99 Na.upf
Zn 65.41 Zn.upf
Pd 106.42 Pd.upf
ATOMIC_POSITIONS angstrom
Na -1.704 0.339 -2.376
Na -5.581 -1.319 2.178
Zn -2.542 -1.873 1.883
Zn -3.642 -0.490 -0.099
Pd -1.184 0.188 0.789
Pd -6.101 -1.168 -0.987
CELL_PARAMETERS angstrom
0.471 4.528 -0.659
-2.672 -1.761 -3.305
-5.084 -3.747 3.766
```

Output
Energy relative to the elements: -171 meV per atom
SG: C2/m (12)
Volume: 112 Å³/cell
E above lowest polymorph: 0.157 eV per atom
Crystal system: monoclinic
Total DFT energy (no corrections): -16.6 eV per cell


Record 8
Material: MgMnAg
Method: DFT, PBE
State: relaxed Values from VASP.

```
&SYSTEM
  ibrav = 0, nat = 3, ntyp = 3
/
ATOMIC_SPECIES
Ag 107.87 Ag.upf
Mg 24.30 Mg.upf
Mn 54.94 Mn.upf
ATOMIC_POSITIONS angstrom
Ag -0.014 -0.003 -0.012
Mg -2.217 -0.509 -1.906
Mn -4.411 -1.013 -3.792
CELL_PARAMETERS angstrom
-4.888 0.405 -1.344
-1.753 -1.931 -4.366
2.472 -1.034 4.322
```

Output
Energy relative to the elements: 154 meV per atom
SG: Imm2 (44)
Volume: 53 Å³/cell
Crystal system: orthorhombic
Total DFT energy (no corrections): -13.2 eV per cell


Record 9
Material: Ga3SbI
Method: DFT, PBE
State: relaxed Values from VASP.

```
&SYSTEM
  ibrav = 0, nat = 5, ntyp = 3
/
ATOMIC_SPECIES
I 126.90 I.upf
Sb 121.76 Sb.upf
Ga 69.72 Ga.upf
ATOMIC_POSITIONS angstrom
I 2.787 2.787 2.787
Sb 0.000 0.000 0.000
Ga 0.000 2.787 0.000
Ga 0.000 0.000 2.787
Ga 2.787 0.000 0.000
CELL_PARAMETERS angstrom
5.575 0.000 0.000
0.000 5.575 0.000
0.000 0.000 5.575
```

Output
SG: Pm-3m (221)
Volume: 173 Å³/cell
E above lowest polymorph: 0.000 eV per atom
Crystal system: cubic
Total DFT energy (no corrections): -13.4 eV per cell
Formation energy without anion corrections: 0.2652 eV/atom


Record 10
Material: LiY2Rh
Method: DFT, PBE
State: relaxed Values from VASP.

```
&SYSTEM
  ibrav = 0, nat = 4, ntyp = 3
/
ATOMIC_SPECIES
Y 88.91 Y.upf
Rh 102.91 Rh.upf
Li 6.94 Li.upf
ATOMIC_POSITIONS angstrom
Y -0.310 -7.455 3.124
Y -1.624 -4.707 1.942
Rh -2.612 -6.063 4.398
Li -0.894 -1.567 2.546
CELL_PARAMETERS angstrom
-0.069 1.361 3.241
-3.221 -1.324 0.487
-0.216 -7.667 3.215
```

Output
Energy relative to the elements: -398 meV per atom
SG: P2/m (10)
Volume: 93 Å³/cell
Crystal system: monoclinic
Total DFT energy (no corrections): -23.8 eV per cell


Record 11
Material: Y8Zn2Ru
Method: DFT, PBE
State: relaxed Values from VASP.

```
&SYSTEM
  ibrav = 0, nat = 11, ntyp = 3
/
ATOMIC_SPECIES
Y 88.91 Y.upf
Zn 65.41 Zn.upf
Ru 101.07 Ru.upf
ATOMIC_POSITIONS angstrom
Y 0.000 1.535 6.848
Y 2.594 5.677 2.742
Y 2.594 2.982 5.068
Y 2.594 -1.234 7.863
Y 0.000 1.003 3.313
Y 0.000 -1.692 5.639
Y 2.594 2.450 1.533
Y 0.000 5.219 0.518
Zn 2.594 0.139 5.266
Zn 0.000 3.845 3.115
Ru 2.594 0.000 0.000
CELL_PARAMETERS angstrom
5.188 0.000 0.000
0.000 6.794 0.087
-2.594 -2.809 8.294
```

Output
Energy relative to the elements: -207 meV per atom
SG: C2/m (12)
Volume: 294 Å³/cell
E above lowest polymorph: 0.000 eV per atom
Crystal system: monoclinic
Total DFT energy (no corrections): -65.8 eV per cell


Record 12
Material: Th3MgSn2
Method: DFT, PBE
State: relaxed Values from VASP.

```
&SYSTEM
  ibrav = 0, nat = 12, ntyp = 3
/
ATOMIC_SPECIES
Th 232.04 Th.upf
Mg 24.30 Mg.upf
Sn 118.71 Sn.upf
ATOMIC_POSITIONS angstrom
Th 4.018 -1.426 2.061
Th 3.651 2.121 4.012
Th 6.457 1.483 0.504
Th 1.213 -0.789 5.569
Th 2.578 -4.942 1.568
Th 0.422 -2.716 2.353
Mg 1.078 -1.113 -0.392
Mg 3.233 -3.340 -1.177
Sn 1.360 0.449 2.461
Sn 6.310 0.246 3.611
Sn 4.825 4.111 1.589
Sn 2.845 -3.416 4.484
CELL_PARAMETERS angstrom
-1.311 -3.205 5.491
4.311 -4.453 -1.570
4.669 8.352 2.151
```

Output
Energy relative to the elements: -314 meV per atom
SG: Ibam (72)
Volume: 360 Å³/cell
Crystal system: orthorhombic
Total DFT energy (no corrections): -67.5 eV per cell


Record 13
Material: Y2C
Method: DFT, PBE
State: relaxed Values from VASP.

```
&SYSTEM
  ibrav = 0, nat = 6, ntyp = 2
/
ATOMIC_SPECIES
Y 88.91 Y.upf
C 12.01 C.upf
ATOMIC_POSITIONS angstrom
Y 1.822 -1.227 3.197
Y 1.227 4.275 0.000
Y 1.822 1.227 0.000
Y 1.227 1.822 3.197
C 0.000 0.000 1.599
C 0.000 0.000 4.796
CELL_PARAMETERS angstrom
-3.048 3.048 3.197
3.048 -3.048 3.197
3.048 3.048 -3.197
```

Output
Energy relative to the elements: 242 meV per atom
SG: I4/mcm (140)
Volume: 119 Å³/cell
Crystal system: tetragonal
Total DFT energy (no corrections): -42.9 eV per cell


Record 14
Material: NiSbTe2C
Method: DFT, PBE
State: relaxed Values from VASP.

```
&SYSTEM
  ibrav = 0, nat = 5, ntyp = 4
/
ATOMIC_SPECIES
Sb 121.76 Sb.upf
C 12.01 C.upf
Te 127.60 Te.upf
Ni 58.69 Ni.upf
ATOMIC_POSITIONS angstrom
Sb 0.000 0.000 2.309
C 0.000 0.000 0.000
Te 0.000 2.365 0.000
Te 2.365 0.000 0.000
Ni 2.365 2.365 2.309
CELL_PARAMETERS angstrom
4.731 0.000 0.000
0.000 4.731 0.000
0.000 0.000 4.618
```

Output
SG: P4/mmm (123)
Volume: 103 Å³/cell
E above lowest polymorph: 0.000 eV per atom
Crystal system: tetragonal
Total DFT energy (no corrections): -19.3 eV per cell
Formation energy without anion corrections: 1.2167 eV/atom


Record 15
Material: Pm3Nd2ErS6
Method: DFT, PBE
State: relaxed Values from VASP.

```
&SYSTEM
  ibrav = 0, nat = 12, ntyp = 4
/
ATOMIC_SPECIES
Pm 145.00 Pm.upf
Nd 144.24 Nd.upf
Er 167.26 Er.upf
S 32.06 S.upf
ATOMIC_POSITIONS angstrom
Pm -2.275 3.987 3.277
Pm 4.591 0.023 3.277
Pm 1.158 2.005 3.277
Nd -0.010 4.020 -0.001
Nd 3.487 2.000 -0.001
Er 0.000 0.000 0.000
S 3.441 2.070 4.948
S 2.357 4.082 1.632
S -1.125 1.940 1.606
S 0.073 4.015 4.948
S -0.041 -0.072 4.922
S 2.243 -0.005 1.606
CELL_PARAMETERS angstrom
6.967 -0.010 -0.001
-3.491 6.030 -0.001
-1.161 -2.010 6.555
```

Output
SG: C2/m (12)
Volume: 275 Å³/cell
Crystal system: monoclinic
Total DFT energy (no corrections): -77.3 eV per cell
Formation energy without anion corrections: -2.0191 eV/atom


Record 16
Material: U2Ge3PdPt4
Method: DFT, PBE
State: relaxed Values from VASP.

```
&SYSTEM
  ibrav = 0, nat = 10, ntyp = 4
/
ATOMIC_SPECIES
U 238.03 U.upf
Ge 72.64 Ge.upf
Pd 106.42 Pd.upf
Pt 195.08 Pt.upf
ATOMIC_POSITIONS angstrom
U -0.392 2.122 2.867
U 2.221 1.016 8.560
Ge 2.205 1.644 5.135
Ge 2.311 4.137 9.163
Ge -0.482 -0.999 2.263
Pd -0.376 1.494 6.291
Pt -2.581 -0.149 1.156
Pt 0.000 0.000 0.000
Pt 1.392 3.452 7.024
Pt 0.436 -0.314 4.403
CELL_PARAMETERS angstrom
-3.039 2.564 0.484
-2.123 -2.862 1.828
4.410 3.287 10.270
```

Output
Energy relative to the elements: -533 meV per atom
SG: P-4m2 (115)
Volume: 187 Å³/cell
Crystal system: tetragonal
Total DFT energy (no corrections): -71.1 eV per cell


Record 17
Material: La2CdAu2
Method: DFT, PBE
State: relaxed Values from VASP.

```
&SYSTEM
  ibrav = 0, nat = 5, ntyp = 3
/
ATOMIC_SPECIES
Cd 112.41 Cd.upf
Au 196.97 Au.upf
La 138.91 La.upf
ATOMIC_POSITIONS angstrom
Cd 0.000 0.000 0.000
Au -2.687 5.578 -1.188
Au -3.928 4.785 1.197
La -2.303 2.531 -0.355
La -4.312 7.832 0.364
CELL_PARAMETERS angstrom
-1.259 1.475 -3.458
-3.740 -0.113 1.313
-1.617 9.000 2.155
```

Output
Energy relative to the elements: -414 meV per atom
SG: I4/mmm (139)
Volume: 141 Å³/cell
Crystal system: tetragonal
Total DFT energy (no corrections): -19.4 eV per cell


Record 18
Material: Nd2GdBi
Method: DFT, PBE
State: relaxed Values from VASP.

```
&SYSTEM
  ibrav = 0, nat = 4, ntyp = 3
/
ATOMIC_SPECIES
Gd 157.25 Gd.upf
Nd 144.24 Nd.upf
Bi 208.98 Bi.upf
ATOMIC_POSITIONS angstrom
Gd -0.630 -4.573 0.864
Nd 2.504 -4.924 -0.821
Nd 0.744 -1.463 -0.244
Bi -2.254 -1.379 1.397
CELL_PARAMETERS angstrom
-0.820 -1.085 4.002
-3.688 -1.674 -1.209
3.248 -6.387 -1.065
```

Output
Energy relative to the elements: -389 meV per atom
SG: P4/mmm (123)
Volume: 129 Å³/cell
E above lowest polymorph: 0.031 eV per atom
Crystal system: tetragonal
Total DFT energy (no corrections): -29.1 eV per cell


Record 19
Material: CaBiSe2F
Method: DFT, PBE
State: relaxed Values from VASP.

```
&SYSTEM
  ibrav = 0, nat = 10, ntyp = 4
/
ATOMIC_SPECIES
Ca 40.08 Ca.upf
Bi 208.98 Bi.upf
Se 78.96 Se.upf
F 19.00 F.upf
ATOMIC_POSITIONS angstrom
Ca 2.037 0.000 8.674
Ca 0.000 2.037 6.075
Bi 2.037 0.000 2.086
Bi 0.000 2.037 12.663
Se 0.000 2.037 10.000
Se 0.000 2.037 1.469
Se 2.037 0.000 13.280
Se 2.037 0.000 4.749
F 0.000 0.000 7.375
F 2.037 2.037 7.375
CELL_PARAMETERS angstrom
4.074 0.000 0.000
0.000 4.074 0.000
0.000 0.000 14.749
```

Output
SG: P4/nmm (129)
Volume: 245 Å³/cell
Crystal system: tetragonal
Total DFT energy (no corrections): -46.7 eV per cell
Formation energy without anion corrections: -1.7237 eV/atom


Record 20
Material: NdSmTeAs
Method: DFT, PBE
State: relaxed Values from VASP.

```
&SYSTEM
  ibrav = 0, nat = 4, ntyp = 4
/
ATOMIC_SPECIES
Nd 144.24 Nd.upf
Sm 150.36 Sm.upf
Te 127.60 Te.upf
As 74.92 As.upf
ATOMIC_POSITIONS angstrom
Nd 0.403 -0.270 4.881
Sm -1.727 3.419 0.631
Te 2.532 0.960 2.718
As -1.726 0.960 6.581
CELL_PARAMETERS angstrom
4.259 -0.001 0.000
-2.129 3.689 0.000
-2.129 -1.229 7.520
```

Output
SG: R3m (160)
Volume: 118 Å³/cell
Crystal system: trigonal
Total DFT energy (no corrections): -23.3 eV per cell
Formation energy without anion corrections: -1.5053 eV/atom


Record 21
Material: YTa2
Method: DFT, PBE
State: relaxed Values from VASP.

```
&SYSTEM
  ibrav = 0, nat = 6, ntyp = 2
/
ATOMIC_SPECIES
Y 88.91 Y.upf
Ta 180.95 Ta.upf
ATOMIC_POSITIONS angstrom
Y 0.000 0.000 0.000
Y -0.800 4.382 1.729
Ta 1.417 5.831 -0.008
Ta 0.709 3.443 -0.893
Ta 2.671 9.005 3.335
Ta 1.963 6.618 2.451
CELL_PARAMETERS angstrom
0.454 7.557 5.072
4.180 8.066 0.714
-4.371 -6.604 -4.508
```

Output
Energy relative to the elements: 774 meV per atom
SG: I4_1/amd (141)
Volume: 143 Å³/cell
E above lowest polymorph: 0.528 eV per atom
Crystal system: tetragonal
Total DFT energy (no corrections): -55.7 eV per cell